FeTc2Ir: optimized geometry, PBE.

Unit cell a=4.1443 b=2.6754 c=5.1551 alpha=75.10 beta=90.00 gamma=90.00
Positions (direct):
Tc 0.5000 0.2919 0.2883
Tc 0.0000 0.9526 0.9735
Fe 0.0000 0.6942 0.4839
Ir 0.5000 0.5613 0.7543

E_tot ... -9.540 eV per atom
Formation energy ... -0.03 eV/atom
Symmetry ... No. 6

---

HfHgS2: optimized geometry, PBE.

Unit cell a=7.4011 b=7.4011 c=7.4009 alpha=60.00 beta=60.00 gamma=90.00
Positions (direct):
S 0.3750 0.5239 0.7500
S 0.8750 0.7261 0.7500
S 0.2739 0.6250 0.2500
S 0.4761 0.1250 0.2500
Hf 0.5000 0.5000 0.0000
Hf 0.2500 0.7500 0.5000
Hg 0.7500 0.2500 0.5000
Hg 0.0000 0.0000 0.0000

E_tot ... -5.497 eV per atom
Symmetry ... No. 122
E_form (uncorrected) ... -0.870 eV/atom

---

LaHSe: optimized geometry, PBE.

Unit cell a=4.1179 b=4.1179 c=8.0359 alpha=90.00 beta=90.00 gamma=120.00
Positions (direct):
Se 0.0000 0.0000 0.0000
Se 0.0000 0.0000 0.5000
H 0.6667 0.3333 0.7500
H 0.3333 0.6667 0.2500
La 0.3333 0.6667 0.7500
La 0.6667 0.3333 0.2500

E_tot ... -5.461 eV per atom
Symmetry ... No. 194

---

Ac2PIr: optimized geometry, PBE.

Unit cell a=5.2956 b=5.2956 c=5.2956 alpha=60.00 beta=60.00 gamma=60.00
Positions (direct):
P 0.0000 0.0000 0.0000
Ac 0.2500 0.2500 0.2500
Ac 0.7500 0.7500 0.7500
Ir 0.5000 0.5000 0.5000

E_tot ... -6.332 eV per atom
Formation energy ... -0.71 eV/atom
Symmetry ... No. 225

---

YMnTe2I: optimized geometry, PBE.

Unit cell a=5.3778 b=5.3778 c=5.2406 alpha=90.00 beta=90.00 gamma=90.00
Positions (direct):
Mn 0.0000 0.0000 0.0000
Te 0.5000 0.0000 0.0000
Te 0.0000 0.5000 0.0000
I 0.0000 0.0000 0.5000
Y 0.5000 0.5000 0.5000

E_tot ... -4.895 eV per atom
Symmetry ... No. 123
E_form (uncorrected) ... -0.201 eV/atom

---

Tb2TcAg: optimized geometry, PBE.

Unit cell a=3.4886 b=3.4886 c=7.3767 alpha=90.00 beta=90.00 gamma=90.00
Positions (direct):
Tc 0.5000 0.5000 0.0000
Tb 0.0000 0.0000 0.2230
Tb 0.0000 0.0000 0.7770
Ag 0.5000 0.5000 0.5000

E_tot ... -5.805 eV per atom
Formation energy ... -0.19 eV/atom
Symmetry ... No. 123

---

InSiTc2: optimized geometry, PBE.

Unit cell a=8.4641 b=8.4641 c=8.4641 alpha=20.17 beta=20.17 gamma=20.17
Positions (direct):
Si 0.7500 0.7500 0.7500
In 0.2500 0.2500 0.2500
Tc 0.4905 0.4905 0.4905
Tc 0.0095 0.0095 0.0095

E_tot ... -7.146 eV per atom
Symmetry ... No. 166
E_form (uncorrected) ... 0.077 eV/atom